Arrangement 1

First-principles (PBE) data for Fe2Ru2Au after structural relaxation, as listed in Alexandria via LeMat-Bulk.

Properties
- DOS at the Fermi energy (states/eV/atom) = 1.5959
- M_tot (μB/f.u.) = 4.34

Structure (CIF):
```
data_Fe2Ru2Au
_cell_length_a 7.252
_cell_length_b 7.252
_cell_length_c 2.715
_cell_angle_alpha 90.00
_cell_angle_beta 90.00
_cell_angle_gamma 90.00
_space_group_name_H-M_alt 'P 4/m b m'
_space_group_IT_number 127
_space_group_name_Hall '-P 4 2ab'
loop_
_atom_site_label
_atom_site_type_symbol
_atom_site_fract_x
_atom_site_fract_y
_atom_site_fract_z
Fe1 Fe 0.164 0.336 0.000
Ru1 Ru 0.129 0.629 0.500
Au1 Au 0.000 0.000 0.500
```

Arrangement 2

First-principles (PBE) data for Fe2Ru2Au after structural relaxation, as listed in Alexandria via LeMat-Bulk.

Properties
- DOS at the Fermi energy (states/eV/atom) = 1.1105
- M_tot (μB/f.u.) = 2.04

Structure (CIF):
```
data_Fe2Ru2Au
_cell_length_a 7.116
_cell_length_b 7.116
_cell_length_c 2.704
_cell_angle_alpha 90.00
_cell_angle_beta 90.00
_cell_angle_gamma 90.00
_space_group_name_H-M_alt 'P 4/m b m'
_space_group_IT_number 127
_space_group_name_Hall '-P 4 2ab'
loop_
_atom_site_label
_atom_site_type_symbol
_atom_site_fract_x
_atom_site_fract_y
_atom_site_fract_z
Fe1 Fe 0.118 0.382 0.000
Ru1 Ru 0.171 0.671 0.500
Au1 Au 0.000 0.000 0.000
```

arrangement 2 wins, 0.029 eV/atom ahead of the next structure.

Arrangement 1

First-principles (PBE) data for Fe3AuS after structural relaxation, as listed in Alexandria via LeMat-Bulk.

Properties
- DOS at the Fermi energy (states/eV/atom) = 1.3670
- M_tot (μB/f.u.) = 9.93

Structure (CIF):
```
data_Fe3AuS
_cell_length_a 4.765
_cell_length_b 4.765
_cell_length_c 4.765
_cell_angle_alpha 90.00
_cell_angle_beta 90.00
_cell_angle_gamma 90.00
_space_group_name_H-M_alt 'P m -3 m'
_space_group_IT_number 221
_space_group_name_Hall '-P 4 2 3'
loop_
_atom_site_label
_atom_site_type_symbol
_atom_site_fract_x
_atom_site_fract_y
_atom_site_fract_z
Fe1 Fe 0.000 0.000 0.500
Au1 Au 0.000 0.000 0.000
S1 S 0.500 0.500 0.500
```

Arrangement 2

First-principles (PBE) data for Fe3AuS after structural relaxation, as listed in Alexandria via LeMat-Bulk.

Properties
- DOS at the Fermi energy (states/eV/atom) = 1.3304
- M_tot (μB/f.u.) = 6.58

Structure (CIF):
```
data_Fe3AuS
_cell_length_a 4.174
_cell_length_b 4.174
_cell_length_c 4.174
_cell_angle_alpha 90.00
_cell_angle_beta 90.00
_cell_angle_gamma 90.00
_space_group_name_H-M_alt 'P m -3 m'
_space_group_IT_number 221
_space_group_name_Hall '-P 4 2 3'
loop_
_atom_site_label
_atom_site_type_symbol
_atom_site_fract_x
_atom_site_fract_y
_atom_site_fract_z
Fe1 Fe 0.000 0.000 0.500
Au1 Au 0.500 0.500 0.500
S1 S 0.000 0.000 0.000
```

arrangement 2 wins, 1.173 eV/atom ahead of the next structure.

Arrangement 1

First-principles (PBE) data for FeWAuS after structural relaxation, as listed in Alexandria via LeMat-Bulk.

Properties
- DOS at the Fermi energy (states/eV/atom) = 0.7904
- M_tot (μB/f.u.) = 1.59

Structure (CIF):
```
data_FeWAuS
_cell_length_a 9.523
_cell_length_b 2.932
_cell_length_c 5.312
_cell_angle_alpha 90.00
_cell_angle_beta 123.74
_cell_angle_gamma 90.00
_space_group_name_H-M_alt 'C 1 m 1'
_space_group_IT_number 8
loop_
_space_group_symop_operation_xyz
'x,y,z'
'x,-y,z'
'x+1/2,y+1/2,z'
'x+1/2,-y+1/2,z'
loop_
_atom_site_label
_atom_site_type_symbol
_atom_site_fract_x
_atom_site_fract_y
_atom_site_fract_z
Fe1 Fe 0.000 0.000 0.000
W1 W 0.176 0.500 0.864
Au1 Au 0.280 0.000 0.526
S1 S 0.404 0.000 0.213
```

Arrangement 2

First-principles (PBE) data for FeWAuS after structural relaxation, as listed in Alexandria via LeMat-Bulk.

Properties
- DOS at the Fermi energy (states/eV/atom) = 0.8351
- M_tot (μB/f.u.) = 2.29

Structure (CIF):
```
data_FeWAuS
_cell_length_a 2.888
_cell_length_b 4.157
_cell_length_c 5.174
_cell_angle_alpha 90.00
_cell_angle_beta 90.00
_cell_angle_gamma 90.00
_space_group_name_H-M_alt 'P m m 2'
_space_group_IT_number 25
loop_
_space_group_symop_operation_xyz
'x,y,z'
'-x,-y,z'
'-x,y,z'
'x,-y,z'
loop_
_atom_site_label
_atom_site_type_symbol
_atom_site_fract_x
_atom_site_fract_y
_atom_site_fract_z
Fe1 Fe 0.000 0.000 0.000
W1 W 0.000 0.500 0.656
Au1 Au 0.500 0.500 0.175
S1 S 0.500 0.000 0.672
```

arrangement 1 wins, 0.008 eV/atom ahead of the next structure.

Arrangement 1

First-principles (PBE) data for FeWAuS after structural relaxation, as listed in Alexandria via LeMat-Bulk.

Properties
- DOS at the Fermi energy (states/eV/atom) = 0.8808
- M_tot (μB/f.u.) = 2.41

Structure (CIF):
```
data_FeWAuS
_cell_length_a 8.481
_cell_length_b 2.995
_cell_length_c 6.339
_cell_angle_alpha 90.00
_cell_angle_beta 124.79
_cell_angle_gamma 90.00
_space_group_name_H-M_alt 'C 1 m 1'
_space_group_IT_number 8
loop_
_space_group_symop_operation_xyz
'x,y,z'
'x,-y,z'
'x+1/2,y+1/2,z'
'x+1/2,-y+1/2,z'
loop_
_atom_site_label
_atom_site_type_symbol
_atom_site_fract_x
_atom_site_fract_y
_atom_site_fract_z
Fe1 Fe 0.000 0.000 0.000
W1 W 0.071 0.500 0.713
Au1 Au 0.327 0.500 0.260
S1 S 0.286 0.000 0.706
```

Arrangement 2

First-principles (PBE) data for FeWAuS after structural relaxation, as listed in Alexandria via LeMat-Bulk.

Properties
- DOS at the Fermi energy (states/eV/atom) = 0.9415
- M_tot (μB/f.u.) = 2.26

Structure (CIF):
```
data_FeWAuS
_cell_length_a 8.630
_cell_length_b 2.924
_cell_length_c 5.129
_cell_angle_alpha 90.00
_cell_angle_beta 101.45
_cell_angle_gamma 90.00
_space_group_name_H-M_alt 'C 1 m 1'
_space_group_IT_number 8
loop_
_space_group_symop_operation_xyz
'x,y,z'
'x,-y,z'
'x+1/2,y+1/2,z'
'x+1/2,-y+1/2,z'
loop_
_atom_site_label
_atom_site_type_symbol
_atom_site_fract_x
_atom_site_fract_y
_atom_site_fract_z
Fe1 Fe 0.000 0.000 0.000
W1 W 0.250 0.000 0.723
Au1 Au 0.258 0.500 0.245
S1 S 0.026 0.500 0.677
```

arrangement 1 wins, 0.015 eV/atom ahead of the next structure.

Arrangement 1

First-principles (PBE) data for Sc4FeAu after structural relaxation, as listed in Alexandria via LeMat-Bulk.

Properties
- DOS at the Fermi energy (states/eV/atom) = 1.4271
- M_tot (μB/f.u.) = 1.72

Structure (CIF):
```
data_Sc4FeAu
_cell_length_a 7.877
_cell_length_b 7.877
_cell_length_c 7.877
_cell_angle_alpha 90.00
_cell_angle_beta 90.00
_cell_angle_gamma 90.00
_space_group_name_H-M_alt 'F -4 3 m'
_space_group_IT_number 216
_space_group_name_Hall 'F -4 2 3'
loop_
_atom_site_label
_atom_site_type_symbol
_atom_site_fract_x
_atom_site_fract_y
_atom_site_fract_z
Sc1 Sc 0.125 0.125 0.125
Fe1 Fe 0.000 0.000 0.500
Au1 Au 0.250 0.250 0.750
```

Arrangement 2

First-principles (PBE) data for Sc4FeAu after structural relaxation, as listed in Alexandria via LeMat-Bulk.

Properties
- DOS at the Fermi energy (states/eV/atom) = 1.2349
- M_tot (μB/f.u.) = 0.00

Structure (CIF):
```
data_Sc4FeAu
_cell_length_a 7.890
_cell_length_b 11.521
_cell_length_c 5.634
_cell_angle_alpha 90.00
_cell_angle_beta 105.48
_cell_angle_gamma 90.00
_space_group_name_H-M_alt 'C 1 2/c 1'
_space_group_IT_number 15
loop_
_space_group_symop_operation_xyz
'x,y,z'
'-x,-y,-z'
'-x,y,-z+1/2'
'x,-y,z+1/2'
'x+1/2,y+1/2,z'
'-x+1/2,-y+1/2,-z'
'-x+1/2,y+1/2,-z+1/2'
'x+1/2,-y+1/2,z+1/2'
loop_
_atom_site_label
_atom_site_type_symbol
_atom_site_fract_x
_atom_site_fract_y
_atom_site_fract_z
Sc1 Sc 0.104 0.167 0.041
Sc2 Sc 0.211 0.422 0.405
Fe1 Fe 0.000 0.002 0.250
Au1 Au 0.000 0.368 0.750
```

arrangement 2 wins, 0.777 eV/atom ahead of the next structure.

Arrangement 1

First-principles (PBE) data for FeAuSe after structural relaxation, as listed in Alexandria via LeMat-Bulk.

Properties
- DOS at the Fermi energy (states/eV/atom) = 0.9089
- M_tot (μB/f.u.) = 2.39

Structure (CIF):
```
data_FeAuSe
_cell_length_a 2.917
_cell_length_b 2.917
_cell_length_c 12.451
_cell_angle_alpha 90.00
_cell_angle_beta 90.00
_cell_angle_gamma 90.00
_space_group_name_H-M_alt 'I 4 m m'
_space_group_IT_number 107
_space_group_name_Hall 'I 4 -2'
loop_
_atom_site_label
_atom_site_type_symbol
_atom_site_fract_x
_atom_site_fract_y
_atom_site_fract_z
Fe1 Fe 0.000 0.000 0.000
Au1 Au 0.000 0.000 0.651
Se1 Se 0.000 0.000 0.385
```

Arrangement 2

First-principles (PBE) data for FeAuSe after structural relaxation, as listed in Alexandria via LeMat-Bulk.

Properties
- DOS at the Fermi energy (states/eV/atom) = 1.2477
- M_tot (μB/f.u.) = 3.20

Structure (CIF):
```
data_FeAuSe
_cell_length_a 6.097
_cell_length_b 6.097
_cell_length_c 6.097
_cell_angle_alpha 90.00
_cell_angle_beta 90.00
_cell_angle_gamma 90.00
_space_group_name_H-M_alt 'F -4 3 m'
_space_group_IT_number 216
_space_group_name_Hall 'F -4 2 3'
loop_
_atom_site_label
_atom_site_type_symbol
_atom_site_fract_x
_atom_site_fract_y
_atom_site_fract_z
Fe1 Fe 0.000 0.000 0.000
Au1 Au 0.250 0.250 0.750
Se1 Se 0.250 0.250 0.250
```

Arrangement 3

First-principles (PBE) data for FeAuSe after structural relaxation, as listed in Alexandria via LeMat-Bulk.

Properties
- DOS at the Fermi energy (states/eV/atom) = 0.9532
- M_tot (μB/f.u.) = 1.70

Structure (CIF):
```
data_FeAuSe
_cell_length_a 3.0706
_cell_length_b 3.0706
_cell_length_c 6.4512
_cell_angle_alpha 90.00
_cell_angle_beta 90.00
_cell_angle_gamma 120.00
_space_group_name_H-M_alt 'P 3 m 1'
_space_group_IT_number 156
loop_
_space_group_symop_operation_xyz
'x,y,z'
'-y,x-y,z'
'-x+y,-x,z'
'-y,-x,z'
'-x+y,y,z'
'x,x-y,z'
loop_
_atom_site_label
_atom_site_type_symbol
_atom_site_fract_x
_atom_site_fract_y
_atom_site_fract_z
Fe1 Fe 0.0000 0.0000 0.0000
Au1 Au 0.3333 0.6667 0.6822
Se1 Se 0.6667 0.3333 0.2335
```

arrangement 3 wins, 0.063 eV/atom ahead of the next structure.